No. 1
DFT (PBE) results for a geometry-optimized Pu3Co structure.

Cell lengths 4.3761, 4.3761, 4.3761 Å; angles 90.00, 90.00, 90.00 degrees
Sites, in units of the cell vectors:
Pu: 0.5000 0.0000 0.5000
Pu: 0.5000 0.5000 0.0000
Pu: 0.0000 0.5000 0.5000
Co: 0.0000 0.0000 0.0000

Calculated values
E above lowest polymorph, meV/atom: 131
Energy relative to the elements, eV per atom: 0.208
SG: No. 221
Magnetization, μB per atom: 4.25
Crystal system: cubic

No. 2
DFT (PBE) results for a geometry-optimized TbYSO2 structure.

Cell lengths 3.8049, 3.8049, 6.6007 Å; angles 90.00, 90.00, 120.00 degrees
Sites, in units of the cell vectors:
S: 0.0000 0.0000 0.9992
O: 0.6667 0.3333 0.6299
O: 0.3333 0.6667 0.3704
Y: 0.3333 0.6667 0.7186
Tb: 0.6667 0.3333 0.2820

Calculated values
Total DFT energy (no corrections), eV per atom: -8.21
SG: No. 156
Magnetization, μB per atom: 0.00
Crystal system: trigonal

No. 3
DFT (PBE) results for a geometry-optimized AlTlAg2S4 structure.

Cell lengths 6.9614, 6.9614, 6.9614 Å; angles 130.36, 130.36, 72.84 degrees
Sites, in units of the cell vectors:
Tl: 0.2500 0.7500 0.5000
Ag: 0.7500 0.2500 0.5000
Ag: 0.5000 0.5000 0.0000
S: 0.1120 0.6548 0.9952
S: 0.6596 0.1168 0.0048
S: 0.8832 0.8880 0.5428
S: 0.3452 0.3404 0.4572
Al: 0.0000 0.0000 0.0000

Calculated values
Total DFT energy (no corrections), eV per atom: -3.98
SG: No. 82
Crystal system: tetragonal

No. 4
DFT (PBE) results for a geometry-optimized LaMgSiAu2 structure.

Cell lengths 6.5223, 6.5223, 6.5223 Å; angles 141.36, 141.36, 55.79 degrees
Sites, in units of the cell vectors:
Si: 0.2500 0.7500 0.5000
Au: 0.6203 0.6203 0.0000
Au: 0.3797 0.3797 0.0000
Mg: 0.7500 0.2500 0.5000
La: 0.0000 0.0000 0.0000

Calculated values
Total DFT energy (no corrections), eV per atom: -4.32
SG: No. 119
Magnetization, μB per atom: 0.00
Crystal system: tetragonal

No. 5
DFT (PBE) results for a geometry-optimized SmY2Cd3AgAu2 structure.

Cell lengths 3.8909, 7.8934, 7.8934 Å; angles 120.20, 90.00, 90.00 degrees
Sites, in units of the cell vectors:
Cd: 0.5000 0.9986 0.2605
Cd: 0.5000 0.2605 0.9986
Cd: 0.5000 0.7401 0.7401
Au: 0.5000 0.6689 0.3329
Au: 0.5000 0.3329 0.6689
Sm: 0.0000 0.4079 0.4079
Y: 0.0000 0.5919 0.9998
Y: 0.0000 0.9998 0.5919
Ag: 0.0000 0.9996 0.9996

Calculated values
Energy relative to the elements, eV per atom: -0.587
SG: No. 38
Magnetization, μB per atom: 0.00
Crystal system: orthorhombic

No. 6
DFT (PBE) results for a geometry-optimized TbTm3Te2C2 structure.

Cell lengths 3.7914, 3.7914, 13.8954 Å; angles 90.00, 90.00, 120.00 degrees
Sites, in units of the cell vectors:
C: 0.0000 0.0000 0.5009
C: 0.0000 0.0000 0.9969
Tm: 0.3333 0.6667 0.4094
Tm: 0.6667 0.3333 0.5925
Tm: 0.6667 0.3333 0.9051
Te: 0.3333 0.6667 0.7487
Te: 0.6667 0.3333 0.2537
Tb: 0.3333 0.6667 0.0927

Calculated values
Total DFT energy (no corrections), eV per atom: -6.23
SG: No. 156
Magnetization, μB per atom: 0.00
Crystal system: trigonal

No. 7
DFT (PBE) results for a geometry-optimized Os2Au2O5 structure.

Cell lengths 8.5920, 3.7513, 3.7513 Å; angles 90.00, 90.00, 90.00 degrees
Sites, in units of the cell vectors:
O: 0.5000 0.5000 0.5000
O: 0.7607 0.5000 0.0000
O: 0.7607 0.0000 0.5000
O: 0.2393 0.5000 0.0000
O: 0.2393 0.0000 0.5000
Au: 0.5000 0.0000 0.0000
Au: 0.0000 0.0000 0.0000
Os: 0.7564 0.5000 0.5000
Os: 0.2436 0.5000 0.5000

Calculated values
E above lowest polymorph, meV/atom: 0
SG: No. 123
Magnetization, μB per atom: 0.00
Crystal system: tetragonal

No. 8
DFT (PBE) results for a geometry-optimized BaPrSnSe3 structure.

Cell lengths 8.1855, 8.1855, 10.5085 Å; angles 90.00, 90.00, 148.36 degrees
Sites, in units of the cell vectors:
Se: 0.8849 0.1151 0.2500
Se: 0.3645 0.6355 0.5410
Se: 0.6355 0.3645 0.4590
Se: 0.6355 0.3645 0.0410
Se: 0.1151 0.8849 0.7500
Se: 0.3645 0.6355 0.9590
Pr: 0.0000 0.0000 0.0000
Pr: 0.0000 0.0000 0.5000
Ba: 0.7613 0.2387 0.7500
Ba: 0.2387 0.7613 0.2500
Sn: 0.4730 0.5270 0.7500
Sn: 0.5270 0.4730 0.2500

Calculated values
Total DFT energy (no corrections), eV per atom: -4.81
SG: No. 63
Magnetization, μB per atom: 0.00
Crystal system: orthorhombic